Record 1
{"formula": "RbTaH3", "functional": "GGA-PBE", "state": "relaxed", "cell": [[4.087, 0.000, 0.000], [0.000, 4.087, 0.000], [0.000, 0.000, 4.087]], "species": ["Rb", "Ta", "H", "H", "H"], "frac_coords": [[0.000, 0.000, 0.000], [0.500, 0.500, 0.500], [0.000, 0.500, 0.500], [0.500, 0.000, 0.500], [0.500, 0.500, 0.000]], "polymorph_energy_ev_per_atom": 0.000, "crystal_system": "cubic", "magmom_total_mub_per_fu": 2.9, "space_group": "Pm-3m", "rho_g_cm3": 6.6}


Record 2
{"formula": "Rb2TaH", "functional": "GGA-PBE", "state": "relaxed", "cell": [[13.082, 0.000, 0.000], [0.000, 13.082, 0.000], [0.000, 0.000, 3.795]], "species": ["Rb", "Rb", "Rb", "Rb", "Rb", "Rb", "Rb", "Rb", "Ta", "Ta", "Ta", "Ta", "H", "H", "H", "H"], "frac_coords": [[0.067, 0.250, 0.125], [0.250, 0.567, 0.375], [0.250, 0.933, 0.875], [0.433, 0.250, 0.625], [0.567, 0.750, 0.625], [0.750, 0.067, 0.875], [0.750, 0.433, 0.375], [0.933, 0.750, 0.125], [0.000, 0.000, 0.500], [0.000, 0.500, 0.750], [0.500, 0.000, 0.250], [0.500, 0.500, 0.000], [0.000, 0.000, 0.000], [0.000, 0.500, 0.250], [0.500, 0.000, 0.750], [0.500, 0.500, 0.500]], "polymorph_energy_ev_per_atom": 0.000, "crystal_system": "tetragonal", "magmom_total_mub_per_fu": 3.5, "space_group": "I-42d", "rho_g_cm3": 3.6}


Record 3
{"formula": "RbTa3H", "functional": "GGA-PBE", "state": "relaxed", "cell": [[4.833, 0.000, 0.000], [0.000, 4.833, 0.000], [0.000, 0.000, 4.833]], "species": ["Rb", "Ta", "Ta", "Ta", "H"], "frac_coords": [[0.000, 0.000, 0.000], [0.000, 0.000, 0.500], [0.000, 0.500, 0.000], [0.500, 0.000, 0.000], [0.500, 0.500, 0.500]], "polymorph_energy_ev_per_atom": 2.491, "crystal_system": "cubic", "magmom_total_mub_per_fu": 0.0, "space_group": "Pm-3m", "rho_g_cm3": 9.3}


Copy entry 3 word for word.
{"formula": "RbTa3H", "functional": "GGA-PBE", "state": "relaxed", "cell": [[4.833, 0.000, 0.000], [0.000, 4.833, 0.000], [0.000, 0.000, 4.833]], "species": ["Rb", "Ta", "Ta", "Ta", "H"], "frac_coords": [[0.000, 0.000, 0.000], [0.000, 0.000, 0.500], [0.000, 0.500, 0.000], [0.500, 0.000, 0.000], [0.500, 0.500, 0.500]], "polymorph_energy_ev_per_atom": 2.491, "crystal_system": "cubic", "magmom_total_mub_per_fu": 0.0, "space_group": "Pm-3m", "rho_g_cm3": 9.3}